# 1
CrMo3As | PBE | optimized geometry

Its excess energy over the best structure of this formula in the dataset is 24.61 kJ per mole of atoms. The total magnetization is 1.250 μB per cell.

The structure belongs to space group Pm-3m (No. 221); the cell edges are 4.5512, 4.5512 and 4.5512 Å and the angles 90.00°, 90.00° and 90.00°. The asymmetric unit holds Cr at (0.0000, 0.0000, 0.0000), Mo at (0.0000, 0.5000, 0.5000) and As at (0.5000, 0.5000, 0.5000).


# 2
CrMo3As | PBE | optimized geometry

Its excess energy over the best structure of this formula in the dataset is 0.00 kJ per mole of atoms. The total magnetization is 0.000 μB per cell.

The structure belongs to space group Pm-3m (No. 221); the cell edges are 4.4991, 4.4991 and 4.4991 Å and the angles 90.00°, 90.00° and 90.00°. The asymmetric unit holds Cr at (0.0000, 0.0000, 0.0000), Mo at (0.0000, 0.0000, 0.5000) and As at (0.5000, 0.5000, 0.5000).


# 3
Cr4MoAs | PBE | optimized geometry

The total magnetization is 0.000 μB per cell.

The structure belongs to space group F-43m (No. 216); the cell edges are 6.7719, 6.7719 and 6.7719 Å and the angles 90.00°, 90.00° and 90.00°. The asymmetric unit holds Cr at (0.1239, 0.1239, 0.3761), Mo at (0.0000, 0.0000, 0.0000) and As at (0.2500, 0.2500, 0.7500).


# 4
Cr2MoAs2 | PBE | optimized geometry

The total magnetization is 7.926 μB per cell.

The structure belongs to space group P4/mbm (No. 127); the cell edges are 6.9512, 6.9512 and 2.9801 Å and the angles 90.00°, 90.00° and 90.00°. The asymmetric unit holds Cr at (0.1425, 0.3575, 0.0000), Mo at (0.0000, 0.0000, 0.5000) and As at (0.1548, 0.6548, 0.5000).


# 5
CrMoAs3 | PBE | optimized geometry

Its excess energy over the best structure of this formula in the dataset is 86.70 kJ per mole of atoms. The total magnetization is 4.583 μB per cell.

The structure belongs to space group Pm-3m (No. 221); the cell edges are 4.6580, 4.6580 and 4.6580 Å and the angles 90.00°, 90.00° and 90.00°. The asymmetric unit holds Cr at (0.0000, 0.0000, 0.0000), Mo at (0.5000, 0.5000, 0.5000) and As at (0.0000, 0.0000, 0.5000).


# 6
Cr3MoAs | PBE | optimized geometry

Its excess energy over the best structure of this formula in the dataset is 25.64 kJ per mole of atoms. The total magnetization is 8.685 μB per cell.

The structure belongs to space group Pm-3m (No. 221); the cell edges are 4.6776, 4.6776 and 4.6776 Å and the angles 90.00°, 90.00° and 90.00°. The asymmetric unit holds Cr at (0.0000, 0.0000, 0.5000), Mo at (0.0000, 0.0000, 0.0000) and As at (0.5000, 0.5000, 0.5000).


Values for total DFT energy (no corrections), eV per atom, ordered as above
-7.843 -8.098 -8.779 -7.790 -6.067 -7.487